Material: Pm3ZrSb4
Method: DFT, PBE-GGA
State: optimized geometry

```
data_Pm3ZrSb4
_chemical_formula_sum 'Pm3 Zr1 Sb4'
_cell_length_a 7.610
_cell_length_b 7.610
_cell_length_c 4.395
_cell_angle_alpha 90.00
_cell_angle_beta 90.00
_cell_angle_gamma 109.32
_space_group_name_H-M_alt 'P 1'
_space_group_IT_number 1
_space_group_name_Hall 'P 1'
loop_
_atom_site_label
_atom_site_type_symbol
_atom_site_fract_x
_atom_site_fract_y
_atom_site_fract_z
_atom_site_occupancy
Pm1 Pm 0.000 0.000 0.000 1
Pm2 Pm 0.000 0.500 0.500 1
Pm3 Pm 0.500 0.000 0.500 1
Zr1 Zr 0.500 0.500 0.000 1
Sb1 Sb 0.258 0.742 0.000 1
Sb2 Sb 0.265 0.265 0.500 1
Sb3 Sb 0.735 0.735 0.500 1
Sb4 Sb 0.742 0.258 0.000 1
```

Summary:
- final energy (eV/atom) = -5.935
- uncorrected formation energy (eV per atom) = -1.024

Material: GaTc2B2
Method: DFT, PBE-GGA
State: optimized geometry

```
data_GaTc2B2
_chemical_formula_sum 'Ga2 Tc4 B4'
_cell_length_a 5.938
_cell_length_b 5.938
_cell_length_c 3.026
_cell_angle_alpha 90.00
_cell_angle_beta 90.00
_cell_angle_gamma 90.00
_space_group_name_H-M_alt 'P 1'
_space_group_IT_number 1
_space_group_name_Hall 'P 1'
loop_
_atom_site_label
_atom_site_type_symbol
_atom_site_fract_x
_atom_site_fract_y
_atom_site_fract_z
_atom_site_occupancy
Ga1 Ga 0.000 0.000 0.000 1
Ga2 Ga 0.500 0.500 0.000 1
Tc1 Tc 0.172 0.328 0.500 1
Tc2 Tc 0.328 0.828 0.500 1
Tc3 Tc 0.672 0.172 0.500 1
Tc4 Tc 0.828 0.672 0.500 1
B1 B 0.111 0.611 0.000 1
B2 B 0.389 0.111 0.000 1
B3 B 0.611 0.889 0.000 1
B4 B 0.889 0.389 0.000 1
```

Summary:
- final energy (eV/atom) = -7.627
- formation enthalpy at 0 K (eV per atom) = -0.20

Material: NdDy7Mg4
Method: DFT, PBE-GGA
State: optimized geometry

```
data_NdDy7Mg4
_chemical_formula_sum 'Nd1 Dy7 Mg4'
_cell_length_a 7.397
_cell_length_b 7.397
_cell_length_c 11.330
_cell_angle_alpha 120.84
_cell_angle_beta 120.84
_cell_angle_gamma 45.50
_space_group_name_H-M_alt 'P 1'
_space_group_IT_number 1
_space_group_name_Hall 'P 1'
loop_
_atom_site_label
_atom_site_type_symbol
_atom_site_fract_x
_atom_site_fract_y
_atom_site_fract_z
_atom_site_occupancy
Nd1 Nd 0.000 0.000 0.000 1
Dy1 Dy 0.057 0.057 0.382 1
Dy2 Dy 0.220 0.220 0.880 1
Dy3 Dy 0.326 0.326 0.387 1
Dy4 Dy 0.500 0.500 0.000 1
Dy5 Dy 0.674 0.674 0.613 1
Dy6 Dy 0.780 0.780 0.120 1
Dy7 Dy 0.943 0.943 0.618 1
Mg1 Mg 0.313 0.313 0.665 1
Mg2 Mg 0.435 0.435 0.217 1
Mg3 Mg 0.565 0.565 0.783 1
Mg4 Mg 0.687 0.687 0.335 1
```

Summary:
- final energy (eV/atom) = -3.391
- formation enthalpy at 0 K (eV per atom) = 0.22

Material: MgMnRu2
Method: DFT, PBE-GGA
State: optimized geometry

```
data_MgMnRu2
_chemical_formula_sum 'Mg1 Mn1 Ru2'
_cell_length_a 2.803
_cell_length_b 2.803
_cell_length_c 7.843
_cell_angle_alpha 90.00
_cell_angle_beta 90.00
_cell_angle_gamma 90.00
_space_group_name_H-M_alt 'P 1'
_space_group_IT_number 1
_space_group_name_Hall 'P 1'
loop_
_atom_site_label
_atom_site_type_symbol
_atom_site_fract_x
_atom_site_fract_y
_atom_site_fract_z
_atom_site_occupancy
Mg1 Mg 0.000 0.000 0.000 1
Mn1 Mn 0.500 0.500 0.291 1
Ru1 Ru 0.000 0.000 0.529 1
Ru2 Ru 0.500 0.500 0.742 1
```

Summary:
- final energy (eV/atom) = -7.193
- formation enthalpy at 0 K (eV per atom) = 0.14

Material: EuTmAlZn
Method: DFT, PBE-GGA
State: optimized geometry

```
data_EuTmAlZn
_chemical_formula_sum 'Eu1 Tm1 Al1 Zn1'
_cell_length_a 5.168
_cell_length_b 5.168
_cell_length_c 5.168
_cell_angle_alpha 60.00
_cell_angle_beta 60.00
_cell_angle_gamma 60.00
_space_group_name_H-M_alt 'P 1'
_space_group_IT_number 1
_space_group_name_Hall 'P 1'
loop_
_atom_site_label
_atom_site_type_symbol
_atom_site_fract_x
_atom_site_fract_y
_atom_site_fract_z
_atom_site_occupancy
Eu1 Eu 0.000 0.000 0.000 1
Tm1 Tm 0.500 0.500 0.500 1
Al1 Al 0.750 0.750 0.750 1
Zn1 Zn 0.250 0.250 0.250 1
```

Summary:
- final energy (eV/atom) = -5.212
- formation enthalpy at 0 K (eV per atom) = -0.27

Material: AcLaCe2N4
Method: DFT, PBE-GGA
State: optimized geometry

```
data_AcLaCe2N4
_chemical_formula_sum 'Ac1 La1 Ce2 N4'
_cell_length_a 6.354
_cell_length_b 3.673
_cell_length_c 6.425
_cell_angle_alpha 90.00
_cell_angle_beta 109.25
_cell_angle_gamma 90.00
_space_group_name_H-M_alt 'P 1'
_space_group_IT_number 1
_space_group_name_Hall 'P 1'
loop_
_atom_site_label
_atom_site_type_symbol
_atom_site_fract_x
_atom_site_fract_y
_atom_site_fract_z
_atom_site_occupancy
Ac1 Ac 0.000 0.000 0.000 1
La1 La 0.500 0.500 0.000 1
Ce1 Ce 0.000 0.500 0.500 1
Ce2 Ce 0.500 0.000 0.500 1
N1 N 0.245 0.000 0.722 1
N2 N 0.265 0.500 0.284 1
N3 N 0.735 0.500 0.716 1
N4 N 0.755 0.000 0.278 1
```

Summary:
- final energy (eV/atom) = -8.119
- uncorrected formation energy (eV per atom) = -1.344

Material: NaSi2HgSe
Method: DFT, PBE-GGA
State: optimized geometry

```
data_NaSi2HgSe
_chemical_formula_sum 'Na1 Si2 Hg1 Se1'
_cell_length_a 5.169
_cell_length_b 5.169
_cell_length_c 5.012
_cell_angle_alpha 90.00
_cell_angle_beta 90.00
_cell_angle_gamma 90.00
_space_group_name_H-M_alt 'P 1'
_space_group_IT_number 1
_space_group_name_Hall 'P 1'
loop_
_atom_site_label
_atom_site_type_symbol
_atom_site_fract_x
_atom_site_fract_y
_atom_site_fract_z
_atom_site_occupancy
Na1 Na 0.000 0.000 0.000 1
Si1 Si 0.000 0.500 0.000 1
Si2 Si 0.500 0.000 0.000 1
Hg1 Hg 0.500 0.500 0.500 1
Se1 Se 0.000 0.000 0.500 1
```

Summary:
- final energy (eV/atom) = -2.125
- uncorrected formation energy (eV per atom) = 1.065

Material: Ca9LaTi10O30
Method: DFT, PBE-GGA
State: optimized geometry

```
data_Ca9LaTi10O30
_chemical_formula_sum 'Ca18 La2 Ti20 O60'
_cell_length_a 7.740
_cell_length_b 9.444
_cell_length_c 17.310
_cell_angle_alpha 89.76
_cell_angle_beta 89.18
_cell_angle_gamma 66.22
_space_group_name_H-M_alt 'P 1'
_space_group_IT_number 1
_space_group_name_Hall 'P 1'
loop_
_atom_site_label
_atom_site_type_symbol
_atom_site_fract_x
_atom_site_fract_y
_atom_site_fract_z
_atom_site_occupancy
Ca1 Ca 0.000 0.000 0.000 1
Ca2 Ca 0.043 0.980 0.519 1
Ca3 Ca 0.093 0.797 0.202 1
Ca4 Ca 0.149 0.785 0.716 1
Ca5 Ca 0.198 0.599 0.400 1
Ca6 Ca 0.242 0.582 0.919 1
Ca7 Ca 0.289 0.399 0.603 1
Ca8 Ca 0.349 0.386 0.117 1
Ca9 Ca 0.398 0.202 0.799 1
Ca10 Ca 0.491 0.998 0.003 1
Ca11 Ca 0.551 0.983 0.515 1
Ca12 Ca 0.597 0.802 0.198 1
Ca13 Ca 0.641 0.782 0.719 1
Ca14 Ca 0.692 0.597 0.403 1
Ca15 Ca 0.749 0.584 0.917 1
Ca16 Ca 0.797 0.403 0.599 1
Ca17 Ca 0.842 0.380 0.120 1
Ca18 Ca 0.947 0.185 0.315 1
La1 La 0.436 0.184 0.317 1
La2 La 0.899 0.197 0.804 1
Ti1 Ti 0.017 0.494 0.258 1
Ti2 Ti 0.020 0.496 0.759 1
Ti3 Ti 0.116 0.292 0.461 1
Ti4 Ti 0.122 0.293 0.960 1
Ti5 Ti 0.218 0.090 0.158 1
Ti6 Ti 0.225 0.088 0.658 1
Ti7 Ti 0.318 0.888 0.360 1
Ti8 Ti 0.323 0.889 0.860 1
Ti9 Ti 0.420 0.690 0.559 1
Ti10 Ti 0.420 0.692 0.059 1
Ti11 Ti 0.517 0.494 0.759 1
Ti12 Ti 0.521 0.496 0.259 1
Ti13 Ti 0.617 0.293 0.961 1
Ti14 Ti 0.621 0.292 0.461 1
Ti15 Ti 0.719 0.090 0.658 1
Ti16 Ti 0.724 0.088 0.158 1
Ti17 Ti 0.818 0.889 0.861 1
Ti18 Ti 0.824 0.888 0.360 1
Ti19 Ti 0.920 0.691 0.559 1
Ti20 Ti 0.921 0.690 0.059 1
O1 O 0.049 0.934 0.852 1
O2 O 0.063 0.502 0.499 1
O3 O 0.079 0.872 0.335 1
O4 O 0.094 0.423 0.867 1
O5 O 0.105 0.274 0.727 1
O6 O 0.113 0.222 0.567 1
O7 O 0.121 0.363 0.353 1
O8 O 0.145 0.308 0.193 1
O9 O 0.147 0.158 0.052 1
O10 O 0.162 0.708 0.584 1
O11 O 0.177 0.081 0.419 1
O12 O 0.194 0.643 0.067 1
O13 O 0.248 0.538 0.252 1
O14 O 0.256 0.104 0.896 1
O15 O 0.279 0.478 0.735 1
O16 O 0.292 0.019 0.266 1
O17 O 0.300 0.872 0.128 1
O18 O 0.314 0.824 0.967 1
O19 O 0.324 0.961 0.751 1
O20 O 0.340 0.911 0.589 1
O21 O 0.345 0.758 0.451 1
O22 O 0.362 0.306 0.984 1
O23 O 0.380 0.679 0.821 1
O24 O 0.394 0.242 0.466 1
O25 O 0.448 0.139 0.650 1
O26 O 0.465 0.702 0.298 1
O27 O 0.479 0.075 0.136 1
O28 O 0.495 0.625 0.667 1
O29 O 0.500 0.471 0.529 1
O30 O 0.514 0.421 0.367 1
O31 O 0.527 0.561 0.151 1
O32 O 0.537 0.511 0.990 1
O33 O 0.549 0.357 0.851 1
O34 O 0.560 0.910 0.383 1
O35 O 0.581 0.281 0.219 1
O36 O 0.594 0.843 0.868 1
O37 O 0.646 0.740 0.051 1
O38 O 0.663 0.303 0.697 1
O39 O 0.679 0.675 0.535 1
O40 O 0.694 0.223 0.067 1
O41 O 0.704 0.072 0.928 1
O42 O 0.715 0.025 0.768 1
O43 O 0.728 0.158 0.551 1
O44 O 0.740 0.110 0.390 1
O45 O 0.744 0.961 0.252 1
O46 O 0.764 0.504 0.784 1
O47 O 0.777 0.880 0.621 1
O48 O 0.795 0.442 0.267 1
O49 O 0.845 0.341 0.452 1
O50 O 0.864 0.902 0.098 1
O51 O 0.877 0.278 0.937 1
O52 O 0.894 0.824 0.467 1
O53 O 0.900 0.673 0.329 1
O54 O 0.914 0.623 0.168 1
O55 O 0.926 0.757 0.951 1
O56 O 0.938 0.711 0.790 1
O57 O 0.945 0.560 0.652 1
O58 O 0.962 0.108 0.183 1
O59 O 0.978 0.479 0.022 1
O60 O 0.994 0.044 0.668 1
```

Summary:
- final energy (eV/atom) = -8.172
- uncorrected formation energy (eV per atom) = -3.159